(1)
{"formula": "TaIr", "functional": "PBE", "state": "relaxed", "spacegroup": "P-6m2, No. 187", "delta_e_f_mev_per_atom": -314, "magmom_total_mub_per_fu": 0.001, "e_tot_ev_per_cell": -21.34, "cell": [[-0.164, 2.829, -0.331], [-2.384, -1.562, 0.130], [-0.098, 0.526, 4.543]], "species": ["Ir", "Ta"], "frac_coords": [[0.667, 0.333, 0.750], [0.333, 0.667, 0.250]]}

***

(2)
{"formula": "TbTaIr", "functional": "PBE", "state": "relaxed", "spacegroup": "F-43m, No. 216", "delta_e_f_mev_per_atom": -119, "magmom_total_mub_per_fu": 0.024, "e_tot_ev_per_cell": -25.69, "cell": [[2.295, 1.325, 3.748], [-2.295, 1.325, 3.748], [0.000, -2.650, 3.748]], "species": ["Ir", "Ta", "Tb"], "frac_coords": [[0.000, 0.000, 0.000], [0.750, 0.750, 0.750], [0.250, 0.250, 0.250]]}

***

(3)
{"formula": "TaTcIr", "functional": "PBE", "state": "relaxed", "spacegroup": "F-43m, No. 216", "delta_e_f_mev_per_atom": 286, "de_polymorph_ev_per_atom": 0.000, "magmom_total_mub_per_fu": 0.011, "e_tot_ev_per_cell": -30.21, "cell": [[0.000, 3.032, 3.032], [3.032, 0.000, 3.032], [3.032, 3.032, 0.000]], "species": ["Ir", "Ta", "Tc"], "frac_coords": [[0.000, 0.000, 0.000], [0.250, 0.250, 0.250], [0.750, 0.750, 0.750]]}

***

(4)
{"formula": "Ta2Te6Ir", "functional": "PBE", "state": "relaxed", "spacegroup": "C2/m, No. 12", "magmom_total_mub_per_fu": 0.131, "e_tot_ev_per_cell": -53.09, "cell": [[-7.145, -3.826, 5.660], [-4.324, -6.503, 6.062], [2.168, 2.998, 4.748]], "species": ["Ir", "Ta", "Ta", "Te", "Te", "Te", "Te", "Te", "Te"], "frac_coords": [[0.000, 0.000, 0.000], [0.679, 0.679, 0.496], [0.321, 0.321, 0.504], [0.214, 0.214, 0.195], [0.883, 0.883, 0.232], [0.548, 0.548, 0.271], [0.452, 0.452, 0.729], [0.117, 0.117, 0.768], [0.786, 0.786, 0.805]]}

***

(5)
{"formula": "TaTl2Ir", "functional": "PBE", "state": "relaxed", "spacegroup": "F-43m, No. 216", "magmom_total_mub_per_fu": 0.001, "e_tot_ev_per_cell": -22.95, "cell": [[0.000, 3.419, 3.419], [3.419, 0.000, 3.419], [3.419, 3.419, 0.000]], "species": ["Ir", "Ta", "Tl", "Tl"], "frac_coords": [[0.250, 0.250, 0.250], [0.500, 0.500, 0.500], [0.000, 0.000, 0.000], [0.750, 0.750, 0.750]]}

***

(6)
{"formula": "TaTlIr2", "functional": "PBE", "state": "relaxed", "spacegroup": "F-43m, No. 216", "magmom_total_mub_per_fu": 0.002, "e_tot_ev_per_cell": -30.34, "cell": [[1.170, -4.444, -0.169], [-0.453, -2.640, 3.738], [-3.258, -3.242, 0.144]], "species": ["Ir", "Ir", "Ta", "Tl"], "frac_coords": [[0.000, 0.000, 0.000], [0.750, 0.750, 0.750], [0.250, 0.250, 0.250], [0.500, 0.500, 0.500]]}

***

Repeat the first record exactly.
{"formula": "TaIr", "functional": "PBE", "state": "relaxed", "spacegroup": "P-6m2, No. 187", "delta_e_f_mev_per_atom": -314, "magmom_total_mub_per_fu": 0.001, "e_tot_ev_per_cell": -21.34, "cell": [[-0.164, 2.829, -0.331], [-2.384, -1.562, 0.130], [-0.098, 0.526, 4.543]], "species": ["Ir", "Ta"], "frac_coords": [[0.667, 0.333, 0.750], [0.333, 0.667, 0.250]]}